Arrangement A

# Li3SiAu4, relaxed, DFT GGA-PBE
data_Li3SiAu4
_symmetry_space_group_name_H-M 'C 1 2/m 1'
_symmetry_Int_Tables_number 12
_cell_length_a 13.0266
_cell_length_b 4.4564
_cell_length_c 4.4562
_cell_angle_alpha 90.00
_cell_angle_beta 109.91
_cell_angle_gamma 90.00
loop_
_symmetry_equiv_pos_as_xyz
'x,y,z'
'-x,-y,-z'
'-x,y,-z'
'x,-y,z'
'x+1/2,y+1/2,z'
'-x+1/2,-y+1/2,-z'
'-x+1/2,y+1/2,-z'
'x+1/2,-y+1/2,z'
loop_
_atom_site_label
_atom_site_type_symbol
_atom_site_fract_x
_atom_site_fract_y
_atom_site_fract_z
_atom_site_occupancy
Li1 Li 0.0000 0.0000 0.0000 1
Li2 Li 0.2483 0.5000 0.7482 1
Si1 Si 0.0000 0.5000 0.5000 1
Au1 Au 0.1245 0.0000 0.6241 1
Au2 Au 0.1245 0.5000 0.1240 1
# - spin magnetization (μB/cell) = 0.0
# - density of states at the Fermi level (states/eV per atom) = 0.22

Arrangement B

# Li3SiAu4, relaxed, DFT GGA-PBE
data_Li3SiAu4
_symmetry_space_group_name_H-M 'I m m 2'
_symmetry_Int_Tables_number 44
_cell_length_a 5.6370
_cell_length_b 9.3016
_cell_length_c 5.3476
_cell_angle_alpha 90.00
_cell_angle_beta 90.00
_cell_angle_gamma 90.00
loop_
_symmetry_equiv_pos_as_xyz
'x,y,z'
'-x,-y,z'
'-x,y,z'
'x,-y,z'
'x+1/2,y+1/2,z+1/2'
'-x+1/2,-y+1/2,z+1/2'
'-x+1/2,y+1/2,z+1/2'
'x+1/2,-y+1/2,z+1/2'
loop_
_atom_site_label
_atom_site_type_symbol
_atom_site_fract_x
_atom_site_fract_y
_atom_site_fract_z
_atom_site_occupancy
Li1 Li 0.0000 0.0000 0.0000 1
Li2 Li 0.0000 0.2876 0.7714 1
Si1 Si 0.0000 0.5000 0.3851 1
Au1 Au 0.0000 0.2421 0.2885 1
Au2 Au 0.2403 0.0000 0.5092 1
# - spin magnetization (μB/cell) = 0.0
# - density of states at the Fermi level (states/eV per atom) = 0.22

Stability verdict: arrangement A, ahead by 112 meV per atom